# CdP2Ru (PBE, optimized geometry)
# Final energy ... -5.16 eV per atom
# ΔE_f ... 0.09 eV per atom
# Density ... 6.57 g/cm3
# SG ... No. 10
data_CdP2Ru
_chemical_formula_sum 'Cd1 P2 Ru1'
_symmetry_space_group_name_H-M 'P 1'
_symmetry_Int_Tables_number 1
_symmetry_space_group_name_Hall 'P 1'
_cell_length_a 4.413
_cell_length_b 3.336
_cell_length_c 4.730
_cell_angle_alpha 89.31
_cell_angle_beta 90.00
_cell_angle_gamma 90.00
loop_
_atom_site_label
_atom_site_type_symbol
_atom_site_fract_x
_atom_site_fract_y
_atom_site_fract_z
Ru1 Ru 0.500 0.250 0.250
P1 P 0.000 0.999 0.098
P2 P 0.000 0.501 0.402
Cd1 Cd 0.500 0.750 0.750

# NaTmSc2S4 (PBE, optimized geometry)
# Final energy ... -6.18 eV per atom
# Density ... 4.44 g/cm3
# Energy relative to the elements, uncorrected ... -1810.6 meV per atom
# SG ... No. 119
data_NaTmSc2S4
_chemical_formula_sum 'Na1 Tm1 Sc2 S4'
_symmetry_space_group_name_H-M 'P 1'
_symmetry_Int_Tables_number 1
_symmetry_space_group_name_Hall 'P 1'
_cell_length_a 5.350
_cell_length_b 5.350
_cell_length_c 6.558
_cell_angle_alpha 114.07
_cell_angle_beta 114.07
_cell_angle_gamma 90.00
loop_
_atom_site_label
_atom_site_type_symbol
_atom_site_fract_x
_atom_site_fract_y
_atom_site_fract_z
Na1 Na 0.500 0.500 0.000
S1 S 0.756 0.756 0.512
S2 S 0.004 0.504 0.007
S3 S 0.244 0.244 0.488
S4 S 0.496 0.996 0.993
Sc1 Sc 0.000 0.000 0.000
Sc2 Sc 0.250 0.750 0.500
Tm1 Tm 0.750 0.250 0.500

Q: Which of these has the highest density?
A: CdP2Ru

Q: Which value of final energy does entry 1 give?
A: -5.16 eV per atom

Please write out number 2 again, unchanged.
# NaTmSc2S4 (PBE, optimized geometry)
# Final energy ... -6.18 eV per atom
# Density ... 4.44 g/cm3
# Energy relative to the elements, uncorrected ... -1810.6 meV per atom
# SG ... No. 119
data_NaTmSc2S4
_chemical_formula_sum 'Na1 Tm1 Sc2 S4'
_symmetry_space_group_name_H-M 'P 1'
_symmetry_Int_Tables_number 1
_symmetry_space_group_name_Hall 'P 1'
_cell_length_a 5.350
_cell_length_b 5.350
_cell_length_c 6.558
_cell_angle_alpha 114.07
_cell_angle_beta 114.07
_cell_angle_gamma 90.00
loop_
_atom_site_label
_atom_site_type_symbol
_atom_site_fract_x
_atom_site_fract_y
_atom_site_fract_z
Na1 Na 0.500 0.500 0.000
S1 S 0.756 0.756 0.512
S2 S 0.004 0.504 0.007
S3 S 0.244 0.244 0.488
S4 S 0.496 0.996 0.993
Sc1 Sc 0.000 0.000 0.000
Sc2 Sc 0.250 0.750 0.500
Tm1 Tm 0.750 0.250 0.500

Q: The lowest density belongs to which entry?
A: NaTmSc2S4